No. 1
PBE MnCo2Ni, optimized geometry; calculated formation energy = 9.1 kJ per mole of atoms; magnetic moment = 7.24 Bohr magnetons per cell; total DFT energy (no corrections) = -7.1963 eV per atom; DOS(E_F) = 1.245 states/eV/atom
1.0
-0.751 -2.392 3.972
4.208 2.102 -0.452
-0.283 1.865 1.597
Co Mn Ni
2 1 1
Direct
0.000 0.000 0.000
0.500 0.000 0.500
0.000 0.500 0.500
0.500 0.500 0.000


No. 2
PBE Mn4CoNi15, optimized geometry; calculated formation energy = -8.0 kJ per mole of atoms; magnetic moment = 23.55 Bohr magnetons per cell; total DFT energy (no corrections) = -6.6080 eV per atom; DOS(E_F) = 0.997 states/eV/atom
1.0
3.556 0.000 0.000
0.000 3.556 0.000
0.000 0.000 17.826
Mn Co Ni
4 1 15
Direct
0.000 0.000 0.200
0.000 0.000 0.400
0.000 0.000 0.600
0.000 0.000 0.800
0.000 0.000 0.000
0.500 0.500 0.000
0.500 0.500 0.198
0.500 0.500 0.399
0.500 0.500 0.601
0.500 0.500 0.802
0.500 0.000 0.097
0.500 0.000 0.299
0.500 0.000 0.500
0.500 0.000 0.701
0.500 0.000 0.903
0.000 0.500 0.097
0.000 0.500 0.299
0.000 0.500 0.500
0.000 0.500 0.701
0.000 0.500 0.903


> Which formula does entry 1 have?

MnCo2Ni